No. 1
An optimized crystal structure of Cd5In2Ag2, computed with PBE-GGA.

CIF file:
```
data_Cd5In2Ag2
_cell_length_a 6.020
_cell_length_b 8.000
_cell_length_c 8.002
_cell_angle_alpha 32.60
_cell_angle_beta 84.46
_cell_angle_gamma 84.46
_space_group_name_H-M_alt 'P 1'
_space_group_IT_number 1
_space_group_name_Hall 'P 1'
loop_
_atom_site_label
_atom_site_type_symbol
_atom_site_fract_x
_atom_site_fract_y
_atom_site_fract_z
Cd1 Cd 0.629 0.791 0.791
Cd2 Cd 0.841 0.382 0.382
Cd3 Cd 0.159 0.618 0.618
Cd4 Cd 0.000 0.000 0.000
Cd5 Cd 0.371 0.209 0.209
In1 In 0.660 0.579 0.578
In2 In 0.340 0.421 0.422
Ag1 Ag 0.130 0.812 0.813
Ag2 Ag 0.870 0.188 0.187
```

Computed properties:
* SG: P-1
* E_form: 0.02 eV/atom
* DOS(E_F): 1.955 states/eV/cell


No. 2
An optimized crystal structure of PmNdBrN, computed with PBE-GGA.

CIF file:
```
data_PmNdBrN
_cell_length_a 3.715
_cell_length_b 3.716
_cell_length_c 7.647
_cell_angle_alpha 90.00
_cell_angle_beta 104.06
_cell_angle_gamma 120.00
_space_group_name_H-M_alt 'P 1'
_space_group_IT_number 1
_space_group_name_Hall 'P 1'
loop_
_atom_site_label
_atom_site_type_symbol
_atom_site_fract_x
_atom_site_fract_y
_atom_site_fract_z
N1 N 0.311 0.553 0.879
Br1 Br 0.966 0.381 0.362
Nd1 Nd 0.514 0.155 0.684
Pm1 Pm 0.088 0.942 0.045
```

Computed properties:
* SG: R3m
* calculated total energy: -6.28 eV per atom
* DOS(E_F): 1.010 states/eV/cell


No. 3
An optimized crystal structure of BaAg4Sn4, computed with PBE-GGA.

CIF file:
```
data_BaAg4Sn4
_cell_length_a 5.697
_cell_length_b 9.437
_cell_length_c 9.437
_cell_angle_alpha 90.00
_cell_angle_beta 90.00
_cell_angle_gamma 90.00
_space_group_name_H-M_alt 'P 1'
_space_group_IT_number 1
_space_group_name_Hall 'P 1'
loop_
_atom_site_label
_atom_site_type_symbol
_atom_site_fract_x
_atom_site_fract_y
_atom_site_fract_z
Sn1 Sn 0.402 0.373 0.866
Sn2 Sn 0.098 0.873 0.366
Sn3 Sn 0.098 0.127 0.634
Sn4 Sn 0.402 0.627 0.134
Sn5 Sn 0.902 0.366 0.127
Sn6 Sn 0.598 0.866 0.627
Sn7 Sn 0.902 0.634 0.873
Sn8 Sn 0.598 0.134 0.373
Ag1 Ag 0.091 0.815 0.656
Ag2 Ag 0.909 0.656 0.185
Ag3 Ag 0.591 0.156 0.685
Ag4 Ag 0.091 0.185 0.344
Ag5 Ag 0.409 0.685 0.844
Ag6 Ag 0.409 0.315 0.156
Ag7 Ag 0.909 0.344 0.815
Ag8 Ag 0.591 0.844 0.315
Ba1 Ba 0.500 0.500 0.500
Ba2 Ba 0.000 0.000 0.000
```

Computed properties:
* SG: P4_2/n
* E_form: -0.11 eV/atom
* DOS(E_F): 8.221 states/eV/cell


No. 4
An optimized crystal structure of Ba3ZnTc, computed with PBE-GGA.

CIF file:
```
data_Ba3ZnTc
_cell_length_a 5.893
_cell_length_b 5.893
_cell_length_c 5.893
_cell_angle_alpha 90.00
_cell_angle_beta 90.00
_cell_angle_gamma 90.00
_space_group_name_H-M_alt 'P 1'
_space_group_IT_number 1
_space_group_name_Hall 'P 1'
loop_
_atom_site_label
_atom_site_type_symbol
_atom_site_fract_x
_atom_site_fract_y
_atom_site_fract_z
Ba1 Ba 0.500 0.000 0.000
Ba2 Ba 0.000 0.500 0.000
Ba3 Ba 0.000 0.000 0.500
Zn1 Zn 0.500 0.500 0.500
Tc1 Tc 0.000 0.000 0.000
```

Computed properties:
* distance to the lowest polymorph of the same formula: 0.0 meV/atom
* SG: Pm-3m
* E_form: 0.49 eV/atom
* DOS(E_F): 5.277 states/eV/cell